(1)
Entry from Alexandria: crystalline TlCu2Se2O6 at its relaxed geometry (GGA-PBE).

Computed properties:
As for the crystal system: triclinic. The calculation puts the final energy at -4.949 eV/atom. The symmetry is P-1.

a = 5.941 Å, b = 6.281 Å, c = 6.293 Å
α = 68.71°, β = 72.48°, γ = 63.05°
Element x y z (fractional)
Tl1 0.000 0.000 0.000
Cu1 0.267 0.761 0.494
Cu2 0.733 0.239 0.506
Se1 0.246 0.366 0.266
Se2 0.754 0.634 0.734
O1 0.118 0.137 0.444
O2 0.368 0.404 0.470
O3 0.497 0.790 0.898
O4 0.503 0.210 0.102
O5 0.632 0.596 0.530
O6 0.882 0.863 0.556

(2)
Entry from Alexandria: crystalline Rb2NaLiO2 at its relaxed geometry (GGA-PBE).

Computed properties:
As for the crystal system: orthorhombic. The calculation puts the final energy at -3.680 eV/atom. The symmetry is Ibam.

a = 8.446 Å, b = 8.446 Å, c = 8.446 Å
α = 141.95°, β = 54.02°, γ = 143.13°
Element x y z (fractional)
Rb1 0.157 0.230 0.387
Rb2 0.343 0.730 0.072
Rb3 0.657 0.270 0.928
Rb4 0.843 0.770 0.613
Na1 0.250 0.750 0.500
Na2 0.750 0.250 0.500
Li1 0.250 0.250 0.000
Li2 0.750 0.750 0.000
O1 0.077 0.781 0.858
O2 0.423 0.281 0.705
O3 0.577 0.719 0.295
O4 0.923 0.219 0.142

Magnetization (μB/atom)
0.08, 0.00